(1)
Entry from Alexandria: crystalline ScZn2CrGe at its relaxed geometry (PBE).

Calculated values
**Volume**: 111.4 Å³/f.u.
**Crystal system**: tetragonal
**Calculated total energy**: -4.06 eV/atom
**Magnetic moment**: 4.5 μB/f.u.

Geometry as extended XYZ:
```
5
Lattice="-0.4352 0.3281 -4.6439 3.7260 -3.4277 -0.5914 -3.1610 -3.4451 0.0528" Properties=species:S:1:pos:R:3 pbc="T T T"
Sc 1.8630 -1.7139 -0.2957
Cr 0.0649 -3.2723 -2.5913
Zn -0.2176 0.1641 -2.3220
Ge 0.0000 0.0000 0.0000
Zn -1.5805 -1.7225 0.0264
```


(2)
Entry from Alexandria: crystalline CrGe3Se at its relaxed geometry (PBE).

Calculated values
**Volume**: 105.7 Å³/f.u.
**E above lowest polymorph**: 0.00 eV/f.u.
**Formation energy without anion corrections**: 0.284 eV per atom
**Crystal system**: cubic
**Magnetic moment**: 2.0 μB/f.u.

Geometry as extended XYZ:
```
5
Lattice="4.7282 0.0000 0.0000 0.0000 4.7282 0.0000 0.0000 0.0000 4.7282" Properties=species:S:1:pos:R:3 pbc="T T T"
Ge 0.0000 0.0000 2.3641
Ge 2.3641 0.0000 0.0000
Cr 0.0000 0.0000 0.0000
Se 2.3641 2.3641 2.3641
Ge 0.0000 2.3641 0.0000
```


(3)
Entry from Alexandria: crystalline Cr3GeSe at its relaxed geometry (PBE).

Calculated values
**Volume**: 107.1 Å³/f.u.
**E above lowest polymorph**: 0.00 eV/f.u.
**Formation energy without anion corrections**: 0.714 eV per atom
**Crystal system**: cubic
**Magnetic moment**: 12.0 μB/f.u.

Geometry as extended XYZ:
```
5
Lattice="-3.4769 3.2345 0.0322 -3.2346 -3.4769 -0.0105 0.0164 -0.0296 4.7487" Properties=species:S:1:pos:R:3 pbc="T T T"
Cr -1.6173 -1.7384 -0.0052
Cr -1.7384 1.6172 0.0161
Se 0.0000 0.0000 0.0000
Cr 0.0082 -0.0148 2.3744
Ge -3.3475 -0.1360 2.3852
```


(4)
Entry from Alexandria: crystalline CrGeSe3 at its relaxed geometry (PBE).

Calculated values
**Volume**: 131.0 Å³/f.u.
**Formation energy without anion corrections**: -0.227 eV per atom
**Crystal system**: orthorhombic
**Magnetic moment**: 2.1 μB/f.u.

Geometry as extended XYZ:
```
10
Lattice="3.8604 0.0000 0.0000 0.0000 6.6209 0.0000 -1.9302 0.0000 10.2504" Properties=species:S:1:pos:R:3 pbc="T T T"
Se 1.9302 5.0499 5.7853
Cr 0.0000 2.9182 2.4356
Se 1.9302 1.8980 1.4376
Cr 1.9302 6.2286 7.8148
Se 1.9302 1.9059 7.9258
Se 0.0000 5.2084 8.8127
Se 0.0000 1.7394 4.4650
Ge 0.0000 3.4171 6.8271
Se 0.0000 5.2163 2.3245
Ge 1.9302 0.1067 3.4233
```


Which of these has the lowest volume? CrGe3Se


Repeat the fourth record exactly.
Entry from Alexandria: crystalline CrGeSe3 at its relaxed geometry (PBE).

Calculated values
**Volume**: 131.0 Å³/f.u.
**Formation energy without anion corrections**: -0.227 eV per atom
**Crystal system**: orthorhombic
**Magnetic moment**: 2.1 μB/f.u.

Geometry as extended XYZ:
```
10
Lattice="3.8604 0.0000 0.0000 0.0000 6.6209 0.0000 -1.9302 0.0000 10.2504" Properties=species:S:1:pos:R:3 pbc="T T T"
Se 1.9302 5.0499 5.7853
Cr 0.0000 2.9182 2.4356
Se 1.9302 1.8980 1.4376
Cr 1.9302 6.2286 7.8148
Se 1.9302 1.9059 7.9258
Se 0.0000 5.2084 8.8127
Se 0.0000 1.7394 4.4650
Ge 0.0000 3.4171 6.8271
Se 0.0000 5.2163 2.3245
Ge 1.9302 0.1067 3.4233
```


Which of these has the highest magnetic moment? Cr3GeSe


Which value of volume does entry 1 give? 111.4 Å³/f.u.